Compound: Ta2CuMo
Source: the Alexandria database
Functional: GGA-PBE
Structure: relaxed

Cell and atoms, written as POSCAR:
```
Ta2CuMo
1.0
4.925 -1.681 0.000
4.925 1.681 0.000
-1.957 0.000 3.947
Ta Cu Mo
2 1 1
Direct
0.000 0.000 0.000
0.243 0.243 0.742
0.754 0.754 0.253
0.503 0.503 0.503
```

Results
Volume (A^3/atom): 16.35
VASP energy (eV for the cell shown): -38.1
ΔH_f (0 K) (eV per atom): 0.140
Polymorph energy (0 for the lowest one) (meV per atom): 163

Compound: Ta2Cu2Mo
Source: the Alexandria database
Functional: GGA-PBE
Structure: relaxed

Cell and atoms, written as POSCAR:
```
Ta2Cu2Mo
1.0
-1.634 1.634 7.679
1.634 -1.634 7.679
1.634 1.634 -7.679
Ta Cu Mo
2 2 1
Direct
0.099 0.099 0.000
0.901 0.901 0.000
0.250 0.750 0.500
0.750 0.250 0.500
0.500 0.500 0.000
```

Results
Volume (A^3/atom): 16.40
VASP energy (eV for the cell shown): -40.8
ΔH_f (0 K) (eV per atom): 0.391
Polymorph energy (0 for the lowest one) (meV per atom): 164

Compound: Ta2CuMo
Source: the Alexandria database
Functional: GGA-PBE
Structure: relaxed

Cell and atoms, written as POSCAR:
```
Ta2CuMo
1.0
2.734 0.000 0.000
0.000 4.632 0.000
-0.781 0.000 5.164
Ta Cu Mo
2 1 1
Direct
0.000 0.000 0.000
0.267 0.500 0.726
0.712 0.500 0.229
0.530 0.000 0.504
```

Results
Volume (A^3/atom): 16.35
VASP energy (eV for the cell shown): -38.1
ΔH_f (0 K) (eV per atom): 0.144
Polymorph energy (0 for the lowest one) (meV per atom): 167

Compound: Ta2CuMo
Source: the Alexandria database
Functional: GGA-PBE
Structure: relaxed

Cell and atoms, written as POSCAR:
```
Ta2CuMo
1.0
1.411 0.815 9.640
-1.411 0.815 9.640
0.000 -1.630 9.640
Ta Cu Mo
2 1 1
Direct
0.246 0.246 0.246
0.754 0.754 0.754
0.500 0.500 0.500
0.000 0.000 0.000
```

Results
Volume (A^3/atom): 16.63
VASP energy (eV for the cell shown): -37.4
ΔH_f (0 K) (eV per atom): 0.300
Polymorph energy (0 for the lowest one) (meV per atom): 323

Compound: Ta4CuMo
Source: the Alexandria database
Functional: GGA-PBE
Structure: relaxed

Cell and atoms, written as POSCAR:
```
Ta4CuMo
1.0
0.000 3.798 3.798
3.798 0.000 3.798
3.798 3.798 0.000
Ta Cu Mo
4 1 1
Direct
0.377 0.377 0.377
0.377 0.377 0.870
0.377 0.870 0.377
0.870 0.377 0.377
0.000 0.000 0.000
0.750 0.750 0.750
```

Results
Volume (A^3/atom): 18.26
VASP energy (eV for the cell shown): -58.8
ΔH_f (0 K) (eV per atom): 0.587

Compound: TaCuMo
Source: the Alexandria database
Functional: GGA-PBE
Structure: relaxed

Cell and atoms, written as POSCAR:
```
TaCuMo
1.0
0.000 3.965 4.432
2.869 0.000 4.432
2.869 3.965 0.000
Ta Cu Mo
2 2 2
Direct
0.250 0.250 0.250
0.750 0.750 0.750
0.132 0.132 0.868
0.868 0.868 0.132
0.327 0.673 0.327
0.673 0.327 0.673
```

Results
Volume (A^3/atom): 16.81
VASP energy (eV for the cell shown): -50.4
ΔH_f (0 K) (eV per atom): 0.533
Polymorph energy (0 for the lowest one) (meV per atom): 426

Compound: Ta2CuMo
Source: the Alexandria database
Functional: GGA-PBE
Structure: relaxed

Cell and atoms, written as POSCAR:
```
Ta2CuMo
1.0
3.270 0.000 0.000
0.000 3.270 0.000
0.000 0.000 6.038
Ta Cu Mo
2 1 1
Direct
0.000 0.000 0.248
0.000 0.000 0.752
0.500 0.500 0.000
0.500 0.500 0.500
```

Results
Volume (A^3/atom): 16.14
VASP energy (eV for the cell shown): -38.7
ΔH_f (0 K) (eV per atom): -0.023
Polymorph energy (0 for the lowest one) (meV per atom): 0

Compound: Ta2CuMo
Source: the Alexandria database
Functional: GGA-PBE
Structure: relaxed

Cell and atoms, written as POSCAR:
```
Ta2CuMo
1.0
1.649 -2.217 0.000
1.649 2.217 0.000
0.000 0.000 8.880
Ta Cu Mo
2 1 1
Direct
0.000 0.000 0.242
0.000 0.000 0.758
0.500 0.500 0.000
0.500 0.500 0.500
```

Results
Volume (A^3/atom): 16.23
VASP energy (eV for the cell shown): -38.5
ΔH_f (0 K) (eV per atom): 0.035
Polymorph energy (0 for the lowest one) (meV per atom): 58

Compound: TaCuMo
Source: the Alexandria database
Functional: GGA-PBE
Structure: relaxed

Cell and atoms, written as POSCAR:
```
TaCuMo
1.0
-1.417 1.849 4.481
1.417 -1.849 4.481
1.417 1.849 -4.481
Ta Cu Mo
1 1 1
Direct
0.000 0.000 0.000
0.667 0.667 0.000
0.324 0.324 0.000
```

Results
Volume (A^3/atom): 15.65
VASP energy (eV for the cell shown): -26.1
ΔH_f (0 K) (eV per atom): 0.236
Polymorph energy (0 for the lowest one) (meV per atom): 130

Compound: TaCuMo
Source: the Alexandria database
Functional: GGA-PBE
Structure: relaxed

Cell and atoms, written as POSCAR:
```
TaCuMo
1.0
4.591 0.000 0.000
-2.295 3.976 0.000
0.000 0.000 2.577
Ta Cu Mo
1 1 1
Direct
0.000 0.000 0.000
0.667 0.333 0.295
0.333 0.667 0.632
```

Results
Volume (A^3/atom): 15.68
VASP energy (eV for the cell shown): -26.1
ΔH_f (0 K) (eV per atom): 0.210
Polymorph energy (0 for the lowest one) (meV per atom): 104

Compound: Ta2CuMo
Source: the Alexandria database
Functional: GGA-PBE
Structure: relaxed

Cell and atoms, written as POSCAR:
```
Ta2CuMo
1.0
3.298 0.000 0.000
0.000 3.298 0.000
0.000 0.000 5.931
Ta Cu Mo
2 1 1
Direct
0.000 0.000 0.000
0.500 0.500 0.280
0.000 0.000 0.514
0.500 0.500 0.753
```

Results
Volume (A^3/atom): 16.13
VASP energy (eV for the cell shown): -38.3
ΔH_f (0 K) (eV per atom): 0.087
Polymorph energy (0 for the lowest one) (meV per atom): 110

Compound: Ta2CuMo
Source: the Alexandria database
Functional: GGA-PBE
Structure: relaxed

Cell and atoms, written as POSCAR:
```
Ta2CuMo
1.0
2.734 0.000 0.000
0.000 2.734 0.000
0.000 0.000 8.706
Ta Cu Mo
2 1 1
Direct
0.000 0.000 0.000
0.500 0.500 0.273
0.000 0.000 0.508
0.500 0.500 0.730
```

Results
Volume (A^3/atom): 16.27
VASP energy (eV for the cell shown): -38.1
ΔH_f (0 K) (eV per atom): 0.139
Polymorph energy (0 for the lowest one) (meV per atom): 162